Entry from the Alexandria database: a geometry-optimized YInCu structure (GGA-PBE).

## Properties
The value obtained for the energy of formation from the pure elements is -21.7 kJ/mol of atoms. The electronic total energy comes out at -4.658 eV per atom.

a = 3.3928 Å, b = 3.3928 Å, c = 11.2642 Å
α = 90.00°, β = 90.00°, γ = 90.00°
Space group I4mm (No. 107)
Asymmetric unit:
Y (0.0000, 0.0000, 0.0000)
In (0.0000, 0.0000, 0.7040)
Cu (0.0000, 0.0000, 0.3375)